VASP calculation (PBE) on a relaxed structure of TlBrF.

**ΔE_f (raw)**: -3.7 eV/f.u.
**Size of the total moment**: 0.0 μB per formula unit
**Fermi-level density of states**: 0.00 states/eV/cell
**Final energy**: -3.1934 eV per atom
**SG**: Pm (6)
**Theoretical density**: 6.10 g/cm³

```
TlBrF
1.0
-2.9150 -0.5179 -5.2400
-2.6818 -2.2961 1.7188
-1.3239 6.0793 6.0555
Br Tl F
2 2 2
Direct
0.9446 0.5000 0.5060
0.5512 0.0000 0.0183
0.3636 0.0000 0.3896
0.1393 0.5000 0.8700
0.8821 0.0000 0.7976
0.1765 0.5000 0.1358
```

***

VASP calculation (PBE) on a relaxed structure of TlBrF4.

**ΔE_f (raw)**: -7.8 eV/f.u.
**Size of the total moment**: 0.0 μB per formula unit
**Fermi-level density of states**: 0.00 states/eV/cell
**Final energy**: -3.2220 eV per atom
**SG**: P-1 (2)
**Theoretical density**: 4.62 g/cm³

```
TlBrF4
1.0
4.6248 -0.0058 -0.0045
-2.3159 5.8659 -1.4881
0.0072 0.9439 9.3080
F Br Tl
8 2 2
Direct
0.2392 0.7928 0.6071
0.4475 0.2077 0.8926
0.5525 0.7923 0.1074
0.1490 0.3557 0.1092
0.2054 0.3572 0.6108
0.7608 0.2072 0.3929
0.8510 0.6443 0.8908
0.7946 0.6428 0.3892
0.0000 0.5000 0.5000
0.5000 0.5000 0.0000
0.1578 0.0000 0.2497
0.8422 0.0000 0.7503
```

***

VASP calculation (PBE) on a relaxed structure of TlBr2F6.

**ΔE_f (raw)**: -9.6 eV/f.u.
**Size of the total moment**: 0.0 μB per formula unit
**Fermi-level density of states**: 4.74 states/eV/cell
**Final energy**: -2.9460 eV per atom
**SG**: P-1 (2)
**Theoretical density**: 4.31 g/cm³

```
TlBr2F6
1.0
8.2633 0.9806 -1.9048
-4.5072 6.5140 -3.2248
0.4426 -1.6955 7.2785
F Br Tl
12 4 2
Direct
0.1673 0.3256 0.9657
0.1412 0.8010 0.4672
0.4816 0.7649 0.4185
0.8327 0.6744 0.0343
0.1528 0.9374 0.9181
0.8588 0.1990 0.5328
0.3207 0.4343 0.4882
0.5550 0.1675 0.9890
0.8472 0.0626 0.0819
0.4450 0.8325 0.0110
0.5184 0.2351 0.5815
0.6793 0.5657 0.5118
0.2998 0.5665 0.9975
0.7002 0.4335 0.0025
0.9314 0.6983 0.4972
0.0686 0.3017 0.5028
0.5788 0.8286 0.7501
0.4212 0.1714 0.2499
```

***

VASP calculation (PBE) on a relaxed structure of TlBrF.

**ΔE_f (raw)**: -3.3 eV/f.u.
**Size of the total moment**: 0.0 μB per formula unit
**Fermi-level density of states**: 0.10 states/eV/cell
**Final energy**: -3.0649 eV per atom
**SG**: Pm (6)
**Theoretical density**: 6.06 g/cm³

```
TlBrF
1.0
-1.3782 0.7803 3.6913
-0.5041 -3.7561 0.6058
5.0190 -0.3609 1.9386
Br Tl F
1 1 1
Direct
0.1074 0.5000 0.1677
0.9864 0.5000 0.6675
0.6306 0.0000 0.6674
```

***

VASP calculation (PBE) on a relaxed structure of TlBrF.

**ΔE_f (raw)**: -2.8 eV/f.u.
**Size of the total moment**: 0.0 μB per formula unit
**Fermi-level density of states**: 0.35 states/eV/cell
**Final energy**: -2.8983 eV per atom
**SG**: P1 (1)
**Theoretical density**: 6.20 g/cm³

```
TlBrF
1.0
-1.5507 1.4146 3.5732
-3.2499 -2.5742 -0.1590
1.5701 -3.5506 2.9180
Tl F Br
1 1 1
Direct
0.1979 0.0299 0.8763
0.6995 0.5313 0.8796
0.6995 0.5315 0.3795
```

***

VASP calculation (PBE) on a relaxed structure of TlBr2F.

**ΔE_f (raw)**: -1.5 eV/f.u.
**Size of the total moment**: 0.0 μB per formula unit
**Fermi-level density of states**: 6.79 states/eV/cell
**Final energy**: -2.2643 eV per atom
**SG**: Fm-3m (225)
**Theoretical density**: 7.25 g/cm³

```
TlBr2F
1.0
2.5242 -3.9619 -1.6785
0.5086 -4.0385 2.8841
-2.4297 -4.2040 -1.1439
F Tl Br
1 1 2
Direct
0.0000 0.0000 0.0000
0.5000 0.5000 0.5000
0.2500 0.2500 0.2500
0.7500 0.7500 0.7500
```